[1]
Below is Zr4AlAg after structural relaxation, with properties calculated at the PBEsol level.

The calculated volume comes out at 122.78 Å³ per cell. The calculation puts the formation energy at 0.275 eV per atom. The space group is No. 216.

a = 5.5789 Å, b = 5.5789 Å, c = 5.5789 Å
α = 60.00°, β = 60.00°, γ = 60.00°
Element x y z (fractional)
Al 0.0000 0.0000 0.0000
Zr 0.3741 0.8778 0.3741
Zr 0.8778 0.3741 0.3741
Zr 0.3741 0.3741 0.3741
Zr 0.3741 0.3741 0.8778
Ag 0.7500 0.7500 0.7500

[2]
Below is ZrAlAg2 after structural relaxation, with properties calculated at the PBEsol level.

The calculated volume comes out at 71.44 Å³ per cell. The calculation puts the formation energy at -0.111 eV per atom. The space group is No. 123.

a = 4.1396 Å, b = 4.1367 Å, c = 4.1716 Å
α = 90.00°, β = 90.00°, γ = 90.00°
Element x y z (fractional)
Ag 0.5000 0.5000 0.0000
Ag 0.0000 0.0000 0.0000
Al 0.5000 0.0000 0.5000
Zr 0.0000 0.5000 0.5000

[3]
Below is Zr2AlAg after structural relaxation, with properties calculated at the PBEsol level.

The calculated volume comes out at 75.28 Å³ per cell. The calculation puts the formation energy at -0.248 eV per atom. The space group is No. 123.

a = 4.2146 Å, b = 4.2146 Å, c = 4.2380 Å
α = 90.00°, β = 90.00°, γ = 90.00°
Element x y z (fractional)
Ag 0.5000 0.5000 0.5000
Zr 0.0000 0.5000 0.0000
Zr 0.5000 0.0000 0.0000
Al 0.0000 0.0000 0.5000

[4]
Below is ZrAlAg2 after structural relaxation, with properties calculated at the PBEsol level.

The calculated volume comes out at 69.85 Å³ per cell. The calculation puts the formation energy at -0.197 eV per atom. The space group is No. 99.

a = 3.0956 Å, b = 3.0956 Å, c = 7.2886 Å
α = 90.00°, β = 90.00°, γ = 90.00°
Element x y z (fractional)
Al 0.0000 0.0000 0.4796
Zr 0.5000 0.5000 0.7415
Ag 0.0000 0.0000 0.0153
Ag 0.5000 0.5000 0.2636

[5]
Below is Zr2AlAg after structural relaxation, with properties calculated at the PBEsol level.

The calculated volume comes out at 75.70 Å³ per cell. The calculation puts the formation energy at -0.258 eV per atom. The space group is No. 65.

a = 3.1591 Å, b = 5.0357 Å, c = 5.0357 Å
α = 109.09°, β = 90.00°, γ = 90.00°
Element x y z (fractional)
Ag 0.5000 0.0000 0.0000
Zr 0.0000 0.0000 0.5000
Zr 0.0000 0.5000 0.0000
Al 0.5000 0.5000 0.5000

[6]
Below is Zr2AlAg after structural relaxation, with properties calculated at the PBEsol level.

The calculated volume comes out at 76.78 Å³ per cell. The calculation puts the formation energy at -0.126 eV per atom. The space group is No. 25.

a = 3.1025 Å, b = 4.0064 Å, c = 6.1775 Å
α = 90.00°, β = 90.00°, γ = 90.00°
Element x y z (fractional)
Zr 0.0000 0.0000 0.9865
Zr 0.5000 0.5000 0.2525
Ag 0.0000 0.0000 0.5138
Al 0.5000 0.5000 0.7471